# CsSc2P

A relaxed CsSc2P crystal (PBE-GGA, Alexandria).

Output
- SG = I4_1/amd, No. 141
- formation energy from the elements (kJ per mole of atoms) = 8.35

POSCAR file:
```
CsSc2P
1.0
-5.723 3.632 0.454
-0.845 -0.492 -6.722
-7.182 -4.692 -2.186
Sc P Cs
4 2 2
Cartesian
-4.471 -0.118 -4.578
-8.061 -2.465 -5.672
-4.047 0.127 -1.217
-10.923 -0.649 -5.443
-3.284 1.570 -3.134
-5.656 -1.807 -6.021
0.000 0.000 0.000
-8.095 0.255 -2.433
```